PmLuSnAu: relaxed, PBE-GGA. Values from VASP.

Structure (Quantum ESPRESSO input):
```
&SYSTEM
  ibrav = 0, nat = 4, ntyp = 4
/
ATOMIC_SPECIES
Lu 174.97 Lu.upf
Au 196.97 Au.upf
Sn 118.71 Sn.upf
Pm 145.00 Pm.upf
CELL_PARAMETERS angstrom
5.2412 0.0000 0.0000
2.6206 4.5390 0.0000
2.6206 1.5130 4.2795
ATOMIC_POSITIONS crystal
Lu 0.2500 0.2500 0.2500
Au 0.0000 0.0000 0.0000
Sn 0.5000 0.5000 0.5000
Pm 0.7500 0.7500 0.7500
```

Properties
Uncorrected energy = -4.821 eV per atom
Total magnetic moment = 0.51 μB/f.u.
Symmetry = F-43m, No. 216


ZrCd2AuC: relaxed, PBE-GGA. Values from VASP.

Structure (Quantum ESPRESSO input):
```
&SYSTEM
  ibrav = 0, nat = 5, ntyp = 4
/
ATOMIC_SPECIES
Cd 112.41 Cd.upf
Zr 91.22 Zr.upf
Au 196.97 Au.upf
C 12.01 C.upf
CELL_PARAMETERS angstrom
-3.0346 -3.8665 -2.5042
1.7648 0.7468 -3.2917
3.8325 -3.7828 1.1965
ATOMIC_POSITIONS crystal
Cd 0.0000 0.0000 0.5000
Zr 0.5000 0.5000 0.5000
Au 0.0000 0.0000 0.0000
Cd 0.5000 0.0000 0.0000
C 0.0000 0.5000 0.0000
```

Properties
Uncorrected energy = -3.434 eV per atom
Total magnetic moment = 0.00 μB/f.u.
Symmetry = P4/mmm, No. 123


Rb2TaTlF6: relaxed, PBE-GGA. Values from VASP.

Structure (Quantum ESPRESSO input):
```
&SYSTEM
  ibrav = 0, nat = 10, ntyp = 4
/
ATOMIC_SPECIES
Tl 204.38 Tl.upf
F 19.00 F.upf
Rb 85.47 Rb.upf
Ta 180.95 Ta.upf
CELL_PARAMETERS angstrom
0.0000 4.7880 4.7880
4.7880 0.0000 4.7880
4.7880 4.7880 0.0000
ATOMIC_POSITIONS crystal
Tl 0.5000 0.5000 0.5000
F 0.7846 0.7846 0.2154
F 0.2154 0.7846 0.7846
F 0.2154 0.7846 0.2154
F 0.2154 0.2154 0.7846
Rb 0.7500 0.7500 0.7500
F 0.7846 0.2154 0.7846
Rb 0.2500 0.2500 0.2500
F 0.7846 0.2154 0.2154
Ta 0.0000 0.0000 0.0000
```

Properties
Total magnetic moment = 1.98 μB/f.u.
Raw formation energy = -237 kJ/mol of atoms
Symmetry = Fm-3m, No. 225


K3Cd4Au: relaxed, PBE-GGA. Values from VASP.

Structure (Quantum ESPRESSO input):
```
&SYSTEM
  ibrav = 0, nat = 8, ntyp = 3
/
ATOMIC_SPECIES
Cd 112.41 Cd.upf
K 39.10 K.upf
Au 196.97 Au.upf
CELL_PARAMETERS angstrom
5.5973 0.0000 -2.6662
-1.7797 6.3050 -3.7363
0.1417 -0.0227 7.5060
ATOMIC_POSITIONS crystal
Cd 0.7629 0.0717 0.5258
K 0.4369 0.6731 0.8738
K 0.0893 0.0893 0.1787
Cd 0.7629 0.4541 0.5258
Cd 0.9504 0.6912 0.3823
K 0.4369 0.2007 0.8738
Au 0.9778 0.4778 0.9555
Cd 0.4319 0.6912 0.3823
```

Properties
Uncorrected energy = -1.424 eV per atom
Total magnetic moment = 0.00 μB/f.u.
Symmetry = Imm2, No. 44


Ba2ZnInO5: relaxed, PBE-GGA. Values from VASP.

Structure (Quantum ESPRESSO input):
```
&SYSTEM
  ibrav = 0, nat = 18, ntyp = 4
/
ATOMIC_SPECIES
Ba 137.33 Ba.upf
O 16.00 O.upf
Zn 65.41 Zn.upf
In 114.82 In.upf
CELL_PARAMETERS angstrom
-1.6400 -2.8852 1.2357
-1.5313 -0.2823 -7.7658
9.0059 -5.7895 -1.5653
ATOMIC_POSITIONS crystal
Ba 0.1128 0.2257 0.6852
O 0.3481 0.6962 0.0022
O 0.0615 0.1230 0.0319
Zn 0.5545 0.1090 0.9518
O 0.2893 0.5786 0.6492
O 0.6519 0.3038 0.5022
O 0.9385 0.8770 0.5319
In 0.7897 0.5794 0.5159
O 0.5005 0.0011 0.7907
Ba 0.1293 0.2586 0.3104
O 0.3148 0.6295 0.3868
O 0.7107 0.4214 0.1492
Zn 0.4455 0.8910 0.4518
Ba 0.8707 0.7414 0.8104
Ba 0.8872 0.7743 0.1852
O 0.6852 0.3705 0.8868
O 0.4995 0.9989 0.2907
In 0.2103 0.4206 0.0159
```

Properties
Total magnetic moment = 1.08 μB/f.u.
Raw formation energy = -176 kJ/mol of atoms
Symmetry = Cmc2_1, No. 36


Ag2PO4: relaxed, PBE-GGA. Values from VASP.

Structure (Quantum ESPRESSO input):
```
&SYSTEM
  ibrav = 0, nat = 14, ntyp = 3
/
ATOMIC_SPECIES
O 16.00 O.upf
Ag 107.87 Ag.upf
P 30.97 P.upf
CELL_PARAMETERS angstrom
6.2170 0.0000 0.5087
0.0000 5.9260 0.0000
-1.5910 0.0000 5.7610
ATOMIC_POSITIONS crystal
O 0.6729 0.4565 0.7328
O 0.3271 0.5435 0.2672
Ag 0.3656 0.2500 0.7412
Ag 0.9081 0.7500 0.7680
Ag 0.6344 0.7500 0.2588
O 0.0392 0.2500 0.8191
O 0.9608 0.7500 0.1809
P 0.8070 0.2500 0.6658
P 0.1930 0.7500 0.3342
O 0.8160 0.2500 0.4114
O 0.6729 0.0435 0.7328
O 0.1840 0.7500 0.5886
Ag 0.0919 0.2500 0.2320
O 0.3271 0.9565 0.2672
```

Properties
Total magnetic moment = 0.00 μB/f.u.
Raw formation energy = -106 kJ/mol of atoms
Relative energy among the computed polymorphs = 18.6 meV per atom
Symmetry = P2_1/m, No. 11


Ac2HoH8: relaxed, PBE-GGA. Values from VASP.

Structure (Quantum ESPRESSO input):
```
&SYSTEM
  ibrav = 0, nat = 11, ntyp = 3
/
ATOMIC_SPECIES
H 1.01 H.upf
Ac 227.00 Ac.upf
Ho 164.93 Ho.upf
CELL_PARAMETERS angstrom
3.8548 0.0000 -1.1732
-0.8049 4.6567 -2.6448
-0.0150 0.7505 6.8705
ATOMIC_POSITIONS crystal
H 0.1840 0.1840 0.3680
H 0.6467 0.3881 0.2934
H 0.0000 0.2251 0.0000
H 0.8160 0.8160 0.6320
Ac 0.1680 0.6680 0.3360
Ho 0.5000 0.0000 0.0000
H 0.3533 0.0947 0.7066
H 0.6467 0.9053 0.2934
Ac 0.8320 0.3320 0.6640
H 0.3533 0.6119 0.7066
H 0.0000 0.7749 0.0000
```

Properties
Uncorrected energy = -4.163 eV per atom
Total magnetic moment = 0.00 μB/f.u.
Symmetry = Immm, No. 71


Ta3B7Ru: relaxed, PBE-GGA. Values from VASP.

Structure (Quantum ESPRESSO input):
```
&SYSTEM
  ibrav = 0, nat = 22, ntyp = 3
/
ATOMIC_SPECIES
Ta 180.95 Ta.upf
B 10.81 B.upf
Ru 101.07 Ru.upf
CELL_PARAMETERS angstrom
-1.4986 0.4173 2.8644
3.0678 -6.7198 0.7293
7.3606 3.7194 3.3090
ATOMIC_POSITIONS crystal
Ta 0.1092 0.2185 0.4441
B 0.4266 0.8531 0.7500
B 0.2721 0.5442 0.4659
B 0.3655 0.7310 0.3508
Ta 0.7489 0.4979 0.2500
Ta 0.2511 0.5021 0.7500
B 0.3655 0.7310 0.1492
Ru 0.0493 0.0986 0.7500
B 0.6345 0.2690 0.6492
B 0.7279 0.4558 0.5341
Ta 0.8908 0.7815 0.5559
B 0.4868 0.9736 0.0916
B 0.5734 0.1469 0.2500
B 0.6345 0.2690 0.8508
B 0.5132 0.0264 0.9084
B 0.2721 0.5442 0.0341
B 0.5132 0.0264 0.5916
Ru 0.9507 0.9014 0.2500
Ta 0.1092 0.2185 0.0559
Ta 0.8908 0.7815 0.9441
B 0.7279 0.4558 0.9659
B 0.4868 0.9736 0.4084
```

Properties
Uncorrected energy = -8.858 eV per atom
Total magnetic moment = 0.00 μB/f.u.
Symmetry = Cmcm, No. 63